Computed, not measured: Er2ThPaSb4 after structural relaxation at the PBE level of DFT.

SG: P2/m (10)
Uncorrected formation energy (eV per atom): -0.871

Cell: 4.396 7.627 7.603 Å, 109.47 90.00 90.00°
Last column: magnetic moment on the atom in μB.
Atoms (fractional coordinates):
Er (0.500, 0.000, 0.500)  0.00
Er (0.000, 0.500, 0.500)  0.01
Th (0.500, 0.500, 0.000)  0.03
Pa (0.000, 0.000, 0.000)  0.87
Sb (0.500, 0.248, 0.257)  -0.01
Sb (0.500, 0.752, 0.743)  -0.01
Sb (0.000, 0.242, 0.741)  -0.01
Sb (0.000, 0.758, 0.259)  -0.01